Compound: FeCu4BiPbS6
Source: Alexandria
Functional: PBE
Structure: optimized geometry

abc: 3.8926 10.8146 12.1255
angles: 90.00 90.00 90.00
Closest atoms and distances in Å follow each position.
Space group Pmc2_1 (No. 26)
Inequivalent atoms, fractional coordinates:
Fe 0.0000 0.2073 0.0000 [2 per cell]  4 S 2.26-2.33
Cu 0.0000 0.0177 0.3986 [2 per cell]  4 S 2.35-2.39
Cu 0.5000 0.1260 0.1553 [2 per cell]  4 S 2.34-2.38
Cu 0.5000 0.2854 0.8573 [2 per cell]  4 S 2.30-2.37
Cu 0.5000 0.4811 0.5953 [2 per cell]  4 S 2.28-2.33
Bi 0.0000 0.3463 0.3164 [2 per cell]  3 S 2.63-2.72
Pb 0.5000 0.1920 0.5985 [2 per cell]  7 S 2.99-3.26, 2 Cu 3.13-3.30
S 0.0000 0.0240 0.0891 [2 per cell]  1 Fe 2.26, 3 Cu 2.35-2.38
S 0.0000 0.1775 0.8141 [2 per cell]  1 Fe 2.28, 3 Cu 2.33-2.35
S 0.0000 0.3876 0.5299 [2 per cell]  2 Cu 2.33
S 0.5000 0.1329 0.3484 [2 per cell]  3 Cu 2.34-2.39
S 0.5000 0.3106 0.0516 [2 per cell]  3 Cu 2.31-2.37, 2 Fe 2.33
S 0.5000 0.4817 0.7834 [2 per cell]  2 Cu 2.28-2.30

As for the magnetization: 4.5 μB/f.u. For the raw formation energy, the calculation gives -0.295 eV/atom.

=====

Compound: CaAg3Ru
Source: Alexandria
Functional: PBE
Structure: optimized geometry

abc: 5.0705 5.0705 5.0705
angles: 90.00 90.00 90.00
Closest atoms and distances in Å follow each position.
Space group Pm-3m (No. 221)
Inequivalent atoms, fractional coordinates:
Ca 0.0000 0.0000 0.0000 [1 per cell]  12 Ag 3.59
Ag 0.0000 0.5000 0.5000 [3 per cell]  2 Ru 2.54
Ru 0.5000 0.5000 0.5000 [1 per cell]  6 Ag 2.54

As for the magnetization: 1.5 μB/f.u. The total energy is -3.31 eV/atom.

=====

Compound: Al2FeMo
Source: Alexandria
Functional: PBE
Structure: optimized geometry

abc: 3.8290 3.8290 7.8161
angles: 90.00 90.00 90.00
Closest atoms and distances in Å follow each position.
Space group I4/mmm (No. 139)
Inequivalent atoms, fractional coordinates:
Al 0.0000 0.5000 0.2500 [4 per cell]  4 Al 2.71, 4 Mo 2.74, 4 Fe 2.74
Fe 0.0000 0.0000 0.0000 [2 per cell]  4 Mo 2.71, 8 Al 2.74
Mo 0.0000 0.0000 0.5000 [2 per cell]  4 Fe 2.71, 8 Al 2.74

As for the magnetization: 2.9 μB/f.u. The total energy is -6.82 eV/atom.

=====

Compound: Cs3Pb2Cl6
Source: Alexandria
Functional: PBE
Structure: optimized geometry

abc: 5.7612 5.7612 25.9955
angles: 90.00 90.00 90.00
Closest atoms and distances in Å follow each position.
Space group I4/mmm (No. 139)
Inequivalent atoms, fractional coordinates:
Cs 0.0000 0.0000 0.0000 [2 per cell]  8 Cl 3.59
Cs 0.0000 0.0000 0.1797 [4 per cell]  1 Cl 3.37
Pb 0.0000 0.0000 0.4240 [4 per cell]  5 Cl 2.89-2.98
Cl 0.0000 0.0000 0.3094 [4 per cell]  1 Pb 2.98
Cl 0.0000 0.5000 0.0822 [8 per cell]  2 Pb 2.89

As for the magnetization: 0.8 μB/f.u. For the raw formation energy, the calculation gives -1.467 eV/atom.

=====

Compound: Dy2YIr2
Source: Alexandria
Functional: PBE
Structure: optimized geometry

abc: 5.5226 4.3726 10.4139
angles: 90.00 96.34 90.00
Closest atoms and distances in Å follow each position.
Space group P2_1/m (No. 11)
Inequivalent atoms, fractional coordinates:
Dy 0.1084 0.2500 0.3815 [2 per cell]  5 Ir 2.78-3.08
Dy 0.2513 0.2500 0.0311 [2 per cell]  4 Ir 2.82-3.03
Y 0.3980 0.2500 0.7083 [2 per cell]  5 Ir 2.89-2.94
Ir 0.2346 0.7500 0.8589 [2 per cell]  5 Dy 2.82-3.03, 2 Y 2.89
Ir 0.3427 0.7500 0.5238 [2 per cell]  4 Dy 2.78-3.08, 2 Ir 2.87, 3 Y 2.90-2.94

As for the magnetization: 0.0 μB/f.u. The total energy is -7.41 eV/atom.